Below is a relaxed structure of WOF4, with properties calculated at the PBE+U level.

magnetization	0.000	μB per atom
calculated density	4.3	Mg/m³
VASP energy	-5.769	eV/atom
N(E_F)	0.00	states/eV per atom
space-group type	I-4, No. 82
calculated volume	431	Å³/cell

```
24
Lattice="-5.700 5.700 3.316 5.700 -5.700 3.316 5.700 5.700 -3.316" Properties=species:S:1:pos:R:3 pbc="T T T"
W 8.781 0.618 -0.220
W 0.618 2.620 0.220
W 5.082 3.081 3.536
W -3.081 5.082 3.096
O 1.633 1.011 -0.067
O 4.689 -4.067 3.383
O 1.011 9.767 0.067
O 4.067 4.689 3.249
F 6.310 -2.734 1.683
F 5.040 3.393 -1.239
F 7.809 2.232 -0.364
F 2.966 -0.609 1.633
F 8.434 0.609 1.633
F 2.232 3.592 0.364
F -0.353 4.208 0.503
F 5.091 2.734 1.683
F 0.661 2.307 2.077
F 2.307 -0.661 4.555
F 0.353 7.193 0.503
F 3.468 2.108 3.680
F 3.393 6.361 1.239
F -2.108 3.468 2.952
F 1.492 5.347 2.813
F -1.492 6.054 2.813
```